Entry 1:
LaMgGa6 PBE optimized geometry; space group = Pmm2, No. 25; energy of formation = -0.2834 eV/atom; E = -3.3689 eV/atom
1.0
4.462 0.000 0.000
0.000 5.488 0.000
0.000 0.000 6.698
La Mg Ga
1 1 6
Direct
0.000 0.658 0.000
0.500 0.369 0.500
0.500 0.859 0.293
0.000 0.173 0.725
0.000 0.173 0.275
0.500 0.859 0.707
0.000 0.691 0.500
0.500 0.219 0.000



Entry 2:
La3MgGa PBE optimized geometry; space group = Cmcm, No. 63; energy of formation = -0.2490 eV/atom; E = -4.1297 eV/atom
1.0
-1.399 4.690 2.523
-5.248 -0.795 -1.432
-2.250 -2.674 9.731
La Mg Ga
6 2 2
Direct
0.763 0.250 0.121
0.390 0.250 0.868
0.576 0.250 0.496
0.258 0.750 0.132
0.885 0.750 0.879
0.072 0.750 0.504
0.479 0.750 0.690
0.169 0.250 0.310
0.669 0.750 0.311
0.980 0.250 0.689



Repeat the first record exactly.
LaMgGa6 PBE optimized geometry; space group = Pmm2, No. 25; energy of formation = -0.2834 eV/atom; E = -3.3689 eV/atom
1.0
4.462 0.000 0.000
0.000 5.488 0.000
0.000 0.000 6.698
La Mg Ga
1 1 6
Direct
0.000 0.658 0.000
0.500 0.369 0.500
0.500 0.859 0.293
0.000 0.173 0.725
0.000 0.173 0.275
0.500 0.859 0.707
0.000 0.691 0.500
0.500 0.219 0.000



Among the records above, which one has the lowest energy of formation? LaMgGa6



Among the records above, which one has the highest E? LaMgGa6



Look up the energy of formation of the second one. -0.2490 eV/atom